The following is a PBE+U calculation of TbCrIO4 after structural relaxation, from Alexandria.

The structure belongs to space group C2/m (No. 12); the cell edges are 11.472, 6.776 and 6.627 Å and the angles 90.00°, 101.76° and 90.00°. The distinct sites, in fractional coordinates, are Tb at (0.222, 0.000, 0.359), Cr at (0.131, 0.000, 0.769), I at (0.013, 0.500, 0.227), O at (0.018, 0.000, 0.272), O at (0.184, 0.193, 0.633) and O at (0.203, 0.000, 0.015).

The value obtained for the calculated total energy is -185.8 eV for the cell shown. As for the total magnetization: 0.7 μB per formula unit.